Compound: PaCrHgO6
Source: the Alexandria database
Functional: PBE with a Hubbard U
Structure: optimized geometry

Cell lengths 5.3771, 5.3771, 4.7890 Å; angles 90.00, 90.00, 120.00 degrees
Atoms (fractional coordinates):
Pa (0.0000, 0.0000, 0.0000)
Cr (0.3333, 0.6667, 0.5000)
Hg (0.6667, 0.3333, 0.5000)
O (0.0415, 0.3539, 0.2629)
O (0.0415, 0.6875, 0.7371)
O (0.3125, 0.3539, 0.7371)
O (0.3125, 0.9585, 0.2629)
O (0.6461, 0.6875, 0.2629)
O (0.6461, 0.9585, 0.7371)

Calculated values
Its total magnetization is 0.11 μB/atom. The raw total energy is -7.00 eV/atom. The volume comes out at 120 Å³/cell.